Version a
Entry from Alexandria via LeMat-Bulk: PuScAu2 after structural relaxation (PBE-GGA).

D(E_F) ... 2.90 states/eV/atom
M_tot ... 1.429 μB per atom

abc: 7.0815 7.0815 7.0815
angles: 90.00 90.00 90.00
Space group Fm-3m (No. 225)
Symmetry-distinct sites (fractional):
Pu (0.0000, 0.0000, 0.0000) (multiplicity 4)
Sc (0.0000, 0.0000, 0.5000) (multiplicity 4)
Au (0.2500, 0.2500, 0.2500) (multiplicity 8)

***

Version b
Entry from Alexandria via LeMat-Bulk: PuScAu2 after structural relaxation (PBE-GGA).

D(E_F) ... 2.32 states/eV/atom
M_tot ... 1.457 μB per atom

abc: 3.4060 3.4060 7.4465
angles: 90.00 90.00 90.00
Space group P4/mmm (No. 123)
Symmetry-distinct sites (fractional):
Pu (0.0000, 0.0000, 0.0000) (multiplicity 1)
Sc (0.0000, 0.0000, 0.5000) (multiplicity 1)
Au (0.5000, 0.5000, 0.2855) (multiplicity 2)

***

Version c
Entry from Alexandria via LeMat-Bulk: PuScAu2 after structural relaxation (PBE-GGA).

D(E_F) ... 3.25 states/eV/atom
M_tot ... 1.500 μB per atom

abc: 3.8346 3.8346 22.9091
angles: 90.00 90.00 120.00
Space group R-3m (No. 166, hexagonal axes)
Symmetry-distinct sites (fractional):
Pu (0.0000, 0.0000, 0.0000) (multiplicity 3)
Sc (0.0000, 0.0000, 0.5000) (multiplicity 3)
Au (0.0000, 0.0000, 0.2415) (multiplicity 6)

***

version b wins, 95 meV/atom ahead of the next structure.

***

Version a
Entry from Alexandria via LeMat-Bulk: PuScTlAu after structural relaxation (PBE-GGA).

D(E_F) ... 2.09 states/eV/atom
M_tot ... 1.404 μB per atom

abc: 3.4718 3.4718 7.8293
angles: 90.00 90.00 90.00
Space group P4mm (No. 99)
Symmetry-distinct sites (fractional):
Pu (0.0000, 0.0000, 0.0000) (multiplicity 1)
Sc (0.0000, 0.0000, 0.5462) (multiplicity 1)
Tl (0.5000, 0.5000, 0.2906) (multiplicity 1)
Au (0.5000, 0.5000, 0.7316) (multiplicity 1)

***

Version b
Entry from Alexandria via LeMat-Bulk: PuScTlAu after structural relaxation (PBE-GGA).

D(E_F) ... 2.58 states/eV/atom
M_tot ... 1.419 μB per atom

abc: 7.2744 7.2744 7.2744
angles: 90.00 90.00 90.00
Space group F-43m (No. 216)
Symmetry-distinct sites (fractional):
Pu (0.0000, 0.0000, 0.0000) (multiplicity 4)
Sc (0.0000, 0.0000, 0.5000) (multiplicity 4)
Tl (0.2500, 0.2500, 0.2500) (multiplicity 4)
Au (0.2500, 0.2500, 0.7500) (multiplicity 4)

***

version a wins, 117 meV/atom ahead of the next structure.

***

Version a
Entry from Alexandria via LeMat-Bulk: Pu2AuSe after structural relaxation (PBE-GGA).

D(E_F) ... 5.07 states/eV/atom
M_tot ... 2.972 μB per atom

abc: 3.9776 3.9776 23.4078
angles: 90.00 90.00 120.00
Space group R3m (No. 160, hexagonal axes)
Symmetry-distinct sites (fractional):
Pu (0.0000, 0.0000, 0.0000) (multiplicity 3)
Pu (0.0000, 0.0000, 0.1649) (multiplicity 3)
Au (0.0000, 0.0000, 0.5829) (multiplicity 3)
Se (0.0000, 0.0000, 0.4156) (multiplicity 3)

***

Version b
Entry from Alexandria via LeMat-Bulk: Pu2AuSe after structural relaxation (PBE-GGA).

D(E_F) ... 3.18 states/eV/atom
M_tot ... 3.192 μB per atom

abc: 7.2254 7.2254 7.2254
angles: 90.00 90.00 90.00
Space group Fm-3m (No. 225)
Symmetry-distinct sites (fractional):
Pu (0.2500, 0.2500, 0.2500) (multiplicity 8)
Au (0.0000, 0.0000, 0.0000) (multiplicity 4)
Se (0.0000, 0.0000, 0.5000) (multiplicity 4)

***

Version c
Entry from Alexandria via LeMat-Bulk: Pu2AuSe after structural relaxation (PBE-GGA).

D(E_F) ... 5.55 states/eV/atom
M_tot ... 2.963 μB per atom

abc: 4.0744 4.0744 22.2263
angles: 90.00 90.00 120.00
Space group R-3m (No. 166, hexagonal axes)
Symmetry-distinct sites (fractional):
Pu (0.0000, 0.0000, 0.2478) (multiplicity 6)
Au (0.0000, 0.0000, 0.0000) (multiplicity 3)
Se (0.0000, 0.0000, 0.5000) (multiplicity 3)

***

Version d
Entry from Alexandria via LeMat-Bulk: Pu2AuSe after structural relaxation (PBE-GGA).

D(E_F) ... 4.05 states/eV/atom
M_tot ... 3.046 μB per atom

abc: 3.5789 3.5789 7.3390
angles: 90.00 90.00 90.00
Space group P4/mmm (No. 123)
Symmetry-distinct sites (fractional):
Pu (0.0000, 0.0000, 0.2393) (multiplicity 2)
Au (0.5000, 0.5000, 0.5000) (multiplicity 1)
Se (0.5000, 0.5000, 0.0000) (multiplicity 1)

***

version d wins, 26 meV/atom ahead of the next structure.

***

Version a
Entry from Alexandria via LeMat-Bulk: PuSiAu3 after structural relaxation (PBE-GGA).

D(E_F) ... 2.92 states/eV/atom
M_tot ... 1.110 μB per atom

abc: 4.4133 4.5542 10.5569
angles: 90.00 90.00 90.00
Space group Amm2 (No. 38)
Symmetry-distinct sites (fractional):
Pu (0.0000, 0.0000, 0.0000) (multiplicity 2)
Si (0.0000, 0.0000, 0.3213) (multiplicity 2)
Au (0.0000, 0.0000, 0.7080) (multiplicity 2)
Au (0.5000, 0.0000, 0.2019) (multiplicity 2)
Au (0.5000, 0.0000, 0.4921) (multiplicity 2)

***

Version b
Entry from Alexandria via LeMat-Bulk: PuSiAu3 after structural relaxation (PBE-GGA).

D(E_F) ... 4.45 states/eV/atom
M_tot ... 1.159 μB per atom

abc: 4.8464 4.8464 4.8464
angles: 90.00 90.00 90.00
Space group Pm-3m (No. 221)
Symmetry-distinct sites (fractional):
Pu (0.0000, 0.0000, 0.0000) (multiplicity 1)
Si (0.5000, 0.5000, 0.5000) (multiplicity 1)
Au (0.0000, 0.5000, 0.5000) (multiplicity 3)

***

version a wins, 22 meV/atom ahead of the next structure.

***

Version a
Entry from Alexandria via LeMat-Bulk: Pu2Si3Au5 after structural relaxation (PBE-GGA).

D(E_F) ... 2.63 states/eV/atom
M_tot ... 1.056 μB per atom

abc: 4.4539 24.4311 7.1058
angles: 90.00 90.00 90.00
Space group Cmc2_1 (No. 36)
Symmetry-distinct sites (fractional):
Pu (0.0000, 0.0188, 0.0000) (multiplicity 4)
Pu (0.0000, 0.3264, 0.0264) (multiplicity 4)
Si (0.0000, 0.1037, 0.6890) (multiplicity 4)
Si (0.0000, 0.2686, 0.5660) (multiplicity 4)
Si (0.0000, 0.4512, 0.7939) (multiplicity 4)
Au (0.0000, 0.1014, 0.3311) (multiplicity 4)
Au (0.0000, 0.1925, 0.8589) (multiplicity 4)
Au (0.0000, 0.2184, 0.2574) (multiplicity 4)
Au (0.0000, 0.3742, 0.5460) (multiplicity 4)
Au (0.0000, 0.4463, 0.2032) (multiplicity 4)

***

Version b
Entry from Alexandria via LeMat-Bulk: Pu2Si3Au5 after structural relaxation (PBE-GGA).

D(E_F) ... 2.95 states/eV/atom
M_tot ... 1.137 μB per atom

abc: 4.2587 4.2587 11.0688
angles: 90.00 90.00 90.00
Space group P-4m2 (No. 115)
Symmetry-distinct sites (fractional):
Pu (0.0000, 0.5000, 0.2347) (multiplicity 2)
Si (0.0000, 0.0000, 0.0000) (multiplicity 1)
Si (0.0000, 0.5000, 0.8802) (multiplicity 2)
Au (0.0000, 0.0000, 0.5000) (multiplicity 1)
Au (0.0000, 0.5000, 0.6667) (multiplicity 2)
Au (0.5000, 0.5000, 0.0000) (multiplicity 1)
Au (0.5000, 0.5000, 0.5000) (multiplicity 1)

***

version a wins, 94 meV/atom ahead of the next structure.

***

Version a
Entry from Alexandria via LeMat-Bulk: Sm2PuAu after structural relaxation (PBE-GGA).

D(E_F) ... 2.52 states/eV/atom
M_tot ... 1.585 μB per atom

abc: 3.6463 3.6463 30.4189
angles: 90.00 90.00 120.00
Space group R-3m (No. 166, hexagonal axes)
Symmetry-distinct sites (fractional):
Sm (0.0000, 0.0000, 0.2400) (multiplicity 6)
Pu (0.0000, 0.0000, 0.0000) (multiplicity 3)
Au (0.0000, 0.0000, 0.5000) (multiplicity 3)

***

Version b
Entry from Alexandria via LeMat-Bulk: Sm2PuAu after structural relaxation (PBE-GGA).

D(E_F) ... 2.19 states/eV/atom
M_tot ... 1.617 μB per atom

abc: 3.6286 3.6286 8.4191
angles: 90.00 90.00 90.00
Space group P4/mmm (No. 123)
Symmetry-distinct sites (fractional):
Sm (0.0000, 0.0000, 0.2171) (multiplicity 2)
Pu (0.5000, 0.5000, 0.5000) (multiplicity 1)
Au (0.5000, 0.5000, 0.0000) (multiplicity 1)

***

version b wins, 130 meV/atom ahead of the next structure.

***

Version a
Entry from Alexandria via LeMat-Bulk: SmPuAu2 after structural relaxation (PBE-GGA).

D(E_F) ... 3.99 states/eV/atom
M_tot ... 1.488 μB per atom

abc: 4.2923 4.2923 20.8624
angles: 90.00 90.00 120.00
Space group R-3m (No. 166, hexagonal axes)
Symmetry-distinct sites (fractional):
Sm (0.0000, 0.0000, 0.0000) (multiplicity 3)
Pu (0.0000, 0.0000, 0.5000) (multiplicity 3)
Au (0.0000, 0.0000, 0.2502) (multiplicity 6)

***

Version b
Entry from Alexandria via LeMat-Bulk: SmPuAu2 after structural relaxation (PBE-GGA).

D(E_F) ... 2.57 states/eV/atom
M_tot ... 1.431 μB per atom

abc: 3.6387 3.6387 7.3781
angles: 90.00 90.00 90.00
Space group P4/mmm (No. 123)
Symmetry-distinct sites (fractional):
Sm (0.0000, 0.0000, 0.0000) (multiplicity 1)
Pu (0.0000, 0.0000, 0.5000) (multiplicity 1)
Au (0.5000, 0.5000, 0.2426) (multiplicity 2)

***

version b wins, 143 meV/atom ahead of the next structure.

***

Version a
Entry from Alexandria via LeMat-Bulk: PuSn2Au3 after structural relaxation (PBE-GGA).

D(E_F) ... 2.62 states/eV/atom
M_tot ... 0.912 μB per atom

abc: 4.8173 7.9355 8.6310
angles: 117.34 106.16 90.08
Space group P-1 (No. 2)
Symmetry-distinct sites (fractional):
Pu (0.1332, 0.1337, 0.2674) (multiplicity 2)
Sn (0.1774, 0.6785, 0.3571) (multiplicity 2)
Sn (0.4987, 0.8193, 0.0000) (multiplicity 2)
Au (0.0018, 0.3272, 0.0000) (multiplicity 2)
Au (0.3125, 0.0892, 0.6243) (multiplicity 2)
Au (0.3129, 0.5350, 0.6243) (multiplicity 2)

***

Version b
Entry from Alexandria via LeMat-Bulk: PuSn2Au3 after structural relaxation (PBE-GGA).

D(E_F) ... 1.88 states/eV/atom
M_tot ... 0.956 μB per atom

abc: 5.6424 16.0484 3.1425
angles: 90.00 90.00 90.00
Space group Pmmn (No. 59, origin choice 2)
Symmetry-distinct sites (fractional):
Pu (0.2500, 0.2500, 0.2490) (multiplicity 2)
Sn (0.2500, 0.5765, 0.2474) (multiplicity 4)
Au (0.2500, 0.0829, 0.7489) (multiplicity 4)
Au (0.2500, 0.7500, 0.2506) (multiplicity 2)

***

version a wins, 91 meV/atom ahead of the next structure.